## AlCd2SeCl (PBE-GGA)

Data for an optimized crystal structure of AlCd2SeCl.

Cell: 5.4557 5.9482 5.4557 Å, 90.00 90.00 90.00°
Positions (direct):
Cd: 0.5000 0.0000 0.0000
Cd: 0.0000 0.0000 0.5000
Se: 0.0000 0.0000 0.0000
Cl: 0.5000 0.5000 0.5000
Al: 0.0000 0.5000 0.0000

Calculated total energy   -2.063 eV/atom
Space-group type   P4/mmm (123)
Mass density   3.43 g cm⁻³
Total moment   0.00 μB/f.u.